(1)
First-principles (PBE) data for Re3NiRh after structural relaxation, as listed in the Alexandria database.

Properties
Relative energy among the computed polymorphs = 0.834 eV/atom
Energy of formation = 2.52 eV/atom
E_tot = -37.889 eV per cell

Unit cell a=4.6267 b=4.6267 c=4.6267 alpha=90.00 beta=90.00 gamma=90.00
Atoms (fractional coordinates):
Re  0.0000  0.5000  0.0000
Re  0.0000  0.0000  0.5000
Re  0.5000  0.0000  0.0000
Rh  0.0000  0.0000  0.0000
Ni  0.5000  0.5000  0.5000

(2)
First-principles (PBE) data for ReNi4Rh after structural relaxation, as listed in the Alexandria database.

Properties
Relative energy among the computed polymorphs = 0.038 eV/atom
Energy of formation = 0.02 eV/atom
E_tot = -85.656 eV per cell

Unit cell a=4.4675 b=5.2001 c=6.4377 alpha=90.00 beta=102.92 gamma=90.00
Atoms (fractional coordinates):
Re  0.2750  0.7500  0.3358
Re  0.7250  0.2500  0.6642
Ni  0.2212  0.4944  0.6732
Ni  0.7788  0.9944  0.3268
Ni  0.2212  0.0056  0.6732
Ni  0.7788  0.5056  0.3268
Ni  0.0000  0.5000  0.0000
Ni  0.0000  0.0000  0.0000
Ni  0.4877  0.7500  0.0071
Ni  0.5123  0.2500  0.9929
Rh  0.7254  0.7500  0.6663
Rh  0.2746  0.2500  0.3337

(3)
First-principles (PBE) data for ReNi2Rh2 after structural relaxation, as listed in the Alexandria database.

Properties
Relative energy among the computed polymorphs = 0.000 eV/atom
Energy of formation = -0.05 eV/atom
E_tot = -38.940 eV per cell

Unit cell a=3.7117 b=4.6334 c=4.5384 alpha=80.16 beta=65.86 gamma=66.39
Atoms (fractional coordinates):
Re  0.0000  0.0000  0.0000
Ni  0.2061  0.1842  0.4037
Ni  0.7939  0.8158  0.5963
Rh  0.5964  0.6071  0.2001
Rh  0.4036  0.3929  0.7999

(4)
First-principles (PBE) data for ReNi2Rh after structural relaxation, as listed in the Alexandria database.

Properties
Relative energy among the computed polymorphs = 0.201 eV/atom
Energy of formation = 0.16 eV/atom
E_tot = -30.708 eV per cell

Unit cell a=4.3518 b=4.3518 c=2.6953 alpha=90.00 beta=90.00 gamma=90.00
Atoms (fractional coordinates):
Ni  0.0000  0.0000  0.0000
Ni  0.5000  0.5000  0.0000
Re  0.5000  0.0000  0.5000
Rh  0.0000  0.5000  0.5000

(5)
First-principles (PBE) data for ReNiRh after structural relaxation, as listed in the Alexandria database.

Properties
Relative energy among the computed polymorphs = 0.104 eV/atom
Energy of formation = -0.01 eV/atom
E_tot = -25.615 eV per cell

Unit cell a=5.7641 b=5.7641 c=2.7250 alpha=76.33 beta=76.33 gamma=27.35
Atoms (fractional coordinates):
Re  0.3392  0.3392  0.6608
Rh  0.6664  0.6664  0.3336
Ni  0.9945  0.9945  0.0055

(6)
First-principles (PBE) data for ReNiRh2 after structural relaxation, as listed in the Alexandria database.

Properties
Relative energy among the computed polymorphs = 0.082 eV/atom
Energy of formation = 0.01 eV/atom
E_tot = -32.895 eV per cell

Unit cell a=4.6439 b=4.6439 c=4.6267 alpha=80.02 beta=80.02 gamma=33.93
Atoms (fractional coordinates):
Ni  0.5021  0.5021  0.4994
Re  0.2483  0.2483  0.2492
Rh  0.9987  0.9987  0.0147
Rh  0.7509  0.7509  0.7367

(7)
First-principles (PBE) data for Re2NiRh6 after structural relaxation, as listed in the Alexandria database.

Properties
Relative energy among the computed polymorphs = 0.177 eV/atom
Energy of formation = 0.11 eV/atom
E_tot = -73.837 eV per cell

Unit cell a=2.7124 b=13.4330 c=7.7486 alpha=150.13 beta=100.05 gamma=90.02
Atoms (fractional coordinates):
Re  0.1818  0.1816  0.3633
Re  0.8182  0.8184  0.6367
Ni  0.0000  0.5000  0.0000
Rh  0.3234  0.4962  0.6475
Rh  0.6766  0.5038  0.3525
Rh  0.6782  0.8491  0.3537
Rh  0.5008  0.1424  0.0009
Rh  0.4992  0.8576  0.9991
Rh  0.3218  0.1509  0.6463

(8)
First-principles (PBE) data for ReNiRh2 after structural relaxation, as listed in the Alexandria database.

Properties
Relative energy among the computed polymorphs = 0.080 eV/atom
Energy of formation = 0.01 eV/atom
E_tot = -32.905 eV per cell

Unit cell a=8.7300 b=8.7300 c=8.7300 alpha=17.97 beta=17.97 gamma=17.97
Last column: magnetic moment on the atom in μB.
Atoms (fractional coordinates):
Ni  0.2500  0.2500  0.2500  0.16
Re  0.7500  0.7500  0.7500  -0.03
Rh  0.9992  0.9992  0.9992  0.03
Rh  0.5008  0.5008  0.5008  0.03

(9)
First-principles (PBE) data for ReNi2Rh after structural relaxation, as listed in the Alexandria database.

Properties
Relative energy among the computed polymorphs = 0.000 eV/atom
Energy of formation = -0.04 eV/atom
E_tot = -31.513 eV per cell

Unit cell a=4.5842 b=4.5842 c=4.5842 alpha=132.96 beta=132.96 gamma=68.71
Atoms (fractional coordinates):
Re  0.5000  0.5000  0.0000
Rh  0.2500  0.7500  0.5000
Ni  0.0000  0.0000  0.0000
Ni  0.7500  0.2500  0.5000

(10)
First-principles (PBE) data for ReNi3Rh12 after structural relaxation, as listed in the Alexandria database.

Properties
Energy of formation = 0.00 eV/atom
E_tot = -117.981 eV per cell

Unit cell a=3.8120 b=3.8120 c=15.1874 alpha=90.00 beta=90.00 gamma=90.00
Last column: magnetic moment on the atom in μB.
Atoms (fractional coordinates):
Re  0.0000  0.0000  0.0000  -0.06
Ni  0.0000  0.0000  0.2554  0.70
Ni  0.0000  0.0000  0.5000  0.88
Ni  0.0000  0.0000  0.7446  0.70
Rh  0.5000  0.5000  0.0000  0.00
Rh  0.5000  0.5000  0.2509  0.28
Rh  0.5000  0.5000  0.5000  0.53
Rh  0.5000  0.5000  0.7491  0.28
Rh  0.5000  0.0000  0.1251  0.05
Rh  0.5000  0.0000  0.3759  0.48
Rh  0.5000  0.0000  0.6241  0.48
Rh  0.5000  0.0000  0.8749  0.05
Rh  0.0000  0.5000  0.1251  0.05
Rh  0.0000  0.5000  0.3759  0.48
Rh  0.0000  0.5000  0.6241  0.48
Rh  0.0000  0.5000  0.8749  0.05

(11)
First-principles (PBE) data for Re2NiRhS after structural relaxation, as listed in the Alexandria database.

Properties
E_tot = -37.390 eV per cell
Formation energy from raw total energies = 0.95 eV per atom

Unit cell a=4.3273 b=4.2865 c=4.3273 alpha=90.00 beta=90.00 gamma=90.00
Last column: magnetic moment on the atom in μB.
Atoms (fractional coordinates):
Re  0.0000  0.0000  0.5000  0.10
Re  0.5000  0.0000  0.0000  0.17
S  0.0000  0.0000  0.0000  0.00
Rh  0.0000  0.5000  0.0000  0.17
Ni  0.5000  0.5000  0.5000  0.51

(12)
First-principles (PBE) data for TaRe2NiRh after structural relaxation, as listed in the Alexandria database.

Properties
Energy of formation = 2.12 eV/atom
E_tot = -39.292 eV per cell

Unit cell a=4.6993 b=4.4396 c=4.6993 alpha=90.00 beta=90.00 gamma=90.00
Atoms (fractional coordinates):
Ni  0.0000  0.5000  0.0000
Re  0.0000  0.0000  0.5000
Re  0.5000  0.0000  0.0000
Rh  0.5000  0.5000  0.5000
Ta  0.0000  0.0000  0.0000

(13)
First-principles (PBE) data for ZnReNi2Rh after structural relaxation, as listed in the Alexandria database.

Properties
Energy of formation = 1.62 eV/atom
E_tot = -24.536 eV per cell

Unit cell a=4.4723 b=4.5384 c=4.4723 alpha=90.00 beta=90.00 gamma=90.00
Last column: magnetic moment on the atom in μB.
Atoms (fractional coordinates):
Re  0.5000  0.5000  0.5000  2.85
Zn  0.0000  0.5000  0.0000  -0.02
Rh  0.0000  0.0000  0.0000  0.86
Ni  0.0000  0.0000  0.5000  1.00
Ni  0.5000  0.0000  0.0000  0.71

(14)
First-principles (PBE) data for ZrRe2NiRh after structural relaxation, as listed in the Alexandria database.

Properties
Energy of formation = 1.72 eV/atom
E_tot = -37.993 eV per cell

Unit cell a=4.6522 b=4.8828 c=4.6522 alpha=90.00 beta=90.00 gamma=90.00
Atoms (fractional coordinates):
Re  0.0000  0.0000  0.5000
Re  0.5000  0.0000  0.0000
Rh  0.0000  0.0000  0.0000
Zr  0.0000  0.5000  0.0000
Ni  0.5000  0.5000  0.5000

(15)
First-principles (PBE) data for ReNi2Ru2 after structural relaxation, as listed in the Alexandria database.

Properties
Energy of formation = 0.27 eV/atom
E_tot = -82.445 eV per cell

Unit cell a=6.8195 b=6.8195 c=2.7992 alpha=90.00 beta=90.00 gamma=90.00
Atoms (fractional coordinates):
Re  0.0000  0.0000  0.0000
Re  0.5000  0.5000  0.0000
Ni  0.3771  0.8771  0.0000
Ni  0.8771  0.6229  0.0000
Ni  0.6229  0.1229  0.0000
Ni  0.1229  0.3771  0.0000
Ru  0.1745  0.6745  0.5000
Ru  0.6745  0.8255  0.5000
Ru  0.8255  0.3255  0.5000
Ru  0.3255  0.1745  0.5000

(16)
First-principles (PBE) data for ReNi2Ru after structural relaxation, as listed in the Alexandria database.

Properties
Relative energy among the computed polymorphs = 0.098 eV/atom
Energy of formation = 0.10 eV/atom
E_tot = -32.888 eV per cell

Unit cell a=3.7557 b=2.6140 c=5.8044 alpha=63.21 beta=90.00 gamma=90.00
Atoms (fractional coordinates):
Ni  0.0000  0.9941  0.0061
Ni  0.0000  0.5059  0.4939
Re  0.5000  0.2500  0.2500
Ru  0.5000  0.7500  0.7500

(17)
First-principles (PBE) data for ReNi2Ru after structural relaxation, as listed in the Alexandria database.

Properties
Relative energy among the computed polymorphs = 1.464 eV/atom
Energy of formation = 1.47 eV/atom
E_tot = -54.844 eV per cell

Unit cell a=5.2728 b=5.2728 c=6.3764 alpha=65.58 beta=65.58 gamma=90.00
Atoms (fractional coordinates):
Re  0.0000  0.0000  0.0000
Re  0.7500  0.2500  0.5000
Ni  0.6227  0.1250  0.2500
Ni  0.1273  0.6250  0.2500
Ni  0.3750  0.3773  0.7500
Ni  0.8750  0.8727  0.7500
Ru  0.5000  0.5000  0.0000
Ru  0.2500  0.7500  0.5000

(18)
First-principles (PBE) data for Re2NiRu after structural relaxation, as listed in the Alexandria database.

Properties
Relative energy among the computed polymorphs = 0.178 eV/atom
Energy of formation = 0.12 eV/atom
E_tot = -39.483 eV per cell

Unit cell a=8.8462 b=8.8462 c=8.8462 alpha=17.71 beta=17.71 gamma=17.71
Last column: magnetic moment on the atom in μB.
Atoms (fractional coordinates):
Ni  0.7500  0.7500  0.7500  0.27
Re  0.0030  0.0030  0.0030  0.04
Re  0.2490  0.2490  0.2490  -0.01
Ru  0.4980  0.4980  0.4980  0.06

(19)
First-principles (PBE) data for Re3NiRu after structural relaxation, as listed in the Alexandria database.

Properties
Relative energy among the computed polymorphs = 0.000 eV/atom
Energy of formation = 1.78 eV/atom
E_tot = -43.518 eV per cell

Unit cell a=4.3597 b=4.3597 c=4.3597 alpha=90.00 beta=90.00 gamma=90.00
Atoms (fractional coordinates):
Re  0.0000  0.5000  0.0000
Re  0.0000  0.0000  0.5000
Re  0.5000  0.0000  0.0000
Ni  0.0000  0.0000  0.0000
Ru  0.5000  0.5000  0.5000

(20)
First-principles (PBE) data for ReNi2Ru after structural relaxation, as listed in the Alexandria database.

Properties
Relative energy among the computed polymorphs = 0.172 eV/atom
Energy of formation = 0.17 eV/atom
E_tot = -32.589 eV per cell

Unit cell a=8.5943 b=8.5943 c=8.5943 alpha=17.79 beta=17.79 gamma=17.79
Atoms (fractional coordinates):
Ni  0.9999  0.9999  0.9999
Ni  0.5001  0.5001  0.5001
Re  0.2500  0.2500  0.2500
Ru  0.7500  0.7500  0.7500